(A)
The following is a DFT calculation (SCAN) of a crystal of In2RhW relaxed with PBEsol.

Summary:
symmetry = P4/mmm, No. 123
crystal system = tetragonal
volume = 17.01 Å³/atom

Cell: 2.9139 2.9139 8.0114 Å, 90.00 90.00 90.00°
Last column: nearest neighbours and their distance in Å.
Fractional positions:
In1 0.0000 0.0000 0.2296  4 Rh 2.76, 4 In 2.91, 4 W 2.99
In2 0.0000 0.0000 0.7704  4 Rh 2.76, 4 In 2.91, 4 W 2.99
Rh1 0.5000 0.5000 0.0000  8 In 2.76, 4 Rh 2.91
W1 0.5000 0.5000 0.5000  4 W 2.91, 8 In 2.99

***

(B)
The following is a DFT calculation (SCAN) of a crystal of In2RhW relaxed with PBEsol.

Summary:
symmetry = Fm-3m, No. 225
crystal system = cubic
volume = 17.18 Å³/atom

Cell: 4.5976 4.5976 4.5976 Å, 60.00 60.00 60.00°
Last column: nearest neighbours and their distance in Å.
Fractional positions:
In1 0.2500 0.2500 0.2500  4 W 2.82, 4 Rh 2.82
In2 0.7500 0.7500 0.7500  4 W 2.82, 4 Rh 2.82
Rh1 0.0000 0.0000 0.0000  8 In 2.82
W1 0.5000 0.5000 0.5000  8 In 2.82

***

(C)
The following is a DFT calculation (SCAN) of a crystal of In2RhW relaxed with PBEsol.

Summary:
symmetry = C2/m, No. 12
crystal system = monoclinic
volume = 17.35 Å³/atom

Cell: 5.3164 5.3164 2.8653 Å, 101.47 101.47 113.21°
Last column: nearest neighbours and their distance in Å.
Fractional positions:
In1 0.0000 0.5000 0.0000  2 W 2.76, 2 Rh 2.76, 4 In 2.87-2.93
In2 0.5000 0.0000 0.0000  2 W 2.76, 2 Rh 2.76, 4 In 2.87-2.93
Rh1 0.0000 0.0000 0.5000  4 In 2.76, 2 Rh 2.87, 2 W 2.93
W1 0.5000 0.5000 0.5000  4 In 2.76, 2 W 2.87, 2 Rh 2.93

***

(D)
The following is a DFT calculation (SCAN) of a crystal of In2RhW relaxed with PBEsol.

Summary:
symmetry = R-3m, No. 166
crystal system = trigonal
volume = 17.22 Å³/atom

Cell: 9.1952 9.1952 9.1952 Å, 18.57 18.57 18.57°
Last column: nearest neighbours and their distance in Å.
Fractional positions:
In1 0.2456 0.2456 0.2456  3 Rh 2.74, 3 W 2.93, 6 In 2.97
In2 0.7544 0.7544 0.7544  3 Rh 2.74, 3 W 2.93, 6 In 2.97
Rh1 0.5000 0.5000 0.5000  6 In 2.74, 6 Rh 2.97
W1 0.0000 0.0000 0.0000  6 In 2.93, 6 W 2.97

***

Relative calculated energies, zero for the most stable structure, unit eV/atom: (A) 0.000; (B) 0.224; (C) 0.157; (D) 0.056.